# 1
CaCuPt3 | PBE | optimized geometry

Properties
The energy of formation comes out at 0.084 eV/atom. The calculation puts the energy above the most stable polymorph in this dataset at 0 meV/atom. As for the space-group type: Pm-3m, No. 221.

```
5
Lattice="4.6624 0.0000 0.0000 0.0000 4.6624 0.0000 0.0000 0.0000 4.6624" Properties=species:S:1:pos:R:3 pbc="T T T"
Ca 0.0000 0.0000 0.0000
Cu 2.3312 2.3312 2.3312
Pt 0.0000 2.3312 2.3312
Pt 2.3312 0.0000 2.3312
Pt 2.3312 2.3312 0.0000
```

# 2
TcHg2P | PBE | optimized geometry

Properties
The energy of formation comes out at 0.813 eV/atom. As for the space-group type: F-43m, No. 216.

```
4
Lattice="0.0000 3.3298 3.3298 3.3298 0.0000 3.3298 3.3298 3.3298 0.0000" Properties=species:S:1:pos:R:3 pbc="T T T"
Tc 0.0000 0.0000 0.0000
Hg 1.6649 1.6649 1.6649
Hg 3.3298 3.3298 3.3298
P 4.9948 4.9948 4.9948
```

# 3
LiSc2Re | PBE | optimized geometry

Properties
The energy of formation comes out at 0.284 eV/atom. As for the space-group type: Cmm2, No. 35.

```
4
Lattice="1.6424 -2.3393 0.0000 1.6424 2.3393 0.0000 0.0000 0.0000 9.8410" Properties=species:S:1:pos:R:3 pbc="T T T"
Li 0.0000 0.0000 0.0000
Sc 0.0000 0.0000 5.5471
Sc 1.6424 0.0000 2.6924
Re 1.6424 0.0000 7.6802
```

# 4
TaTe2SN | PBE | optimized geometry

Properties
For the raw formation energy, the calculation gives 101.5 kJ per mole of atoms. The calculation puts the energy above the most stable polymorph in this dataset at 671 meV/atom. As for the space-group type: P4/mmm, No. 123.

```
5
Lattice="5.4244 0.0000 0.0000 0.0000 5.4244 0.0000 0.0000 0.0000 3.3114" Properties=species:S:1:pos:R:3 pbc="T T T"
Ta 0.0000 0.0000 0.0000
Te 0.0000 2.7122 1.6557
Te 2.7122 0.0000 1.6557
S 2.7122 2.7122 1.6557
N 2.7122 2.7122 0.0000
```

# 5
LaNd2Si4 | PBE | optimized geometry

Properties
For the raw formation energy, the calculation gives -72.7 kJ per mole of atoms. As for the space-group type: Immm, No. 71.

```
7
Lattice="-1.9833 2.2552 8.9764 1.9833 -2.2552 8.9764 1.9833 2.2552 -8.9764" Properties=species:S:1:pos:R:3 pbc="T T T"
La 0.0000 0.0000 0.0000
Nd 1.9833 0.0000 3.2660
Nd 0.0000 2.2552 5.7104
Si 1.9833 0.0000 6.3558
Si 0.0000 0.0000 7.7871
Si 0.0000 0.0000 10.1658
Si 0.0000 2.2552 2.6206
```

# 6
NbZnNi | PBE | optimized geometry

Properties
The energy of formation comes out at -0.181 eV/atom. As for the space-group type: Pmma, No. 51.

```
6
Lattice="4.2433 0.0000 0.0000 0.0000 2.7387 0.0000 0.0000 0.0000 7.4312" Properties=species:S:1:pos:R:3 pbc="T T T"
Nb 1.0608 0.0000 1.6173
Nb 3.1825 0.0000 5.8140
Zn 1.0608 1.3694 4.3219
Zn 3.1825 1.3694 3.1094
Ni 1.0608 1.3694 6.7725
Ni 3.1825 1.3694 0.6587
```

# 7
BTeSI2 | PBE | optimized geometry

Properties
For the raw formation energy, the calculation gives 100.7 kJ per mole of atoms. The calculation puts the energy above the most stable polymorph in this dataset at 0 meV/atom. As for the space-group type: P4/mmm, No. 123.

```
5
Lattice="4.8167 0.0000 0.0000 0.0000 4.8167 0.0000 0.0000 0.0000 5.3761" Properties=species:S:1:pos:R:3 pbc="T T T"
B 0.0000 0.0000 0.0000
Te 0.0000 0.0000 2.6881
S 2.4084 2.4084 2.6881
I 0.0000 2.4084 0.0000
I 2.4084 0.0000 0.0000
```

# 8
ErMg4Hg2 | PBE | optimized geometry

Properties
The energy of formation comes out at -0.173 eV/atom. The calculation puts the energy above the most stable polymorph in this dataset at 39 meV/atom. As for the space-group type: Cmmm, No. 65.

```
7
Lattice="2.1704 -8.8021 0.0000 2.1704 8.8021 0.0000 0.0000 0.0000 4.3107" Properties=species:S:1:pos:R:3 pbc="T T T"
Er 0.0000 0.0000 0.0000
Mg 2.1704 5.6007 2.1554
Mg 2.1704 3.2397 0.0000
Mg 2.1704 -3.2397 0.0000
Mg 2.1704 -5.6007 2.1554
Hg 2.1704 1.3967 2.1554
Hg 2.1704 -1.3967 2.1554
```

# 9
MgScTc | PBE | optimized geometry

Properties
The energy of formation comes out at 0.155 eV/atom. The calculation puts the energy above the most stable polymorph in this dataset at 117 meV/atom. As for the space-group type: P3m1, No. 156.

```
3
Lattice="3.1303 0.0000 0.0000 -1.5651 2.7109 0.0000 0.0000 0.0000 6.8601" Properties=species:S:1:pos:R:3 pbc="T T T"
Mg 0.0000 0.0000 0.0000
Sc 1.5651 0.9036 2.7788
Tc 0.0000 1.8073 4.7179
```

# 10
SrBeP2S | PBE | optimized geometry

Properties
For the raw formation energy, the calculation gives -24.2 kJ per mole of atoms. The calculation puts the energy above the most stable polymorph in this dataset at 0 meV/atom. As for the space-group type: P4/mmm, No. 123.

```
5
Lattice="4.2061 0.0000 0.0000 0.0000 4.2061 0.0000 0.0000 0.0000 5.7060" Properties=species:S:1:pos:R:3 pbc="T T T"
Sr 0.0000 0.0000 0.0000
Be 2.1031 2.1031 2.8530
P 0.0000 2.1031 2.8530
P 2.1031 0.0000 2.8530
S 2.1031 2.1031 0.0000
```

# 11
Ca2AgMo | PBE | optimized geometry

Properties
The energy of formation comes out at 0.587 eV/atom. The calculation puts the energy above the most stable polymorph in this dataset at 167 meV/atom. As for the space-group type: R-3m, No. 166.

```
4
Lattice="1.6251 0.9382 10.1376 -1.6251 0.9382 10.1376 0.0000 -1.8765 10.1376" Properties=species:S:1:pos:R:3 pbc="T T T"
Ca 0.0000 0.0000 7.5334
Ca 0.0000 0.0000 22.8793
Ag 0.0000 0.0000 0.0000
Mo 0.0000 0.0000 15.2064
```

# 12
MoCSeN2 | PBE | optimized geometry

Properties
For the raw formation energy, the calculation gives 209.2 kJ per mole of atoms. The calculation puts the energy above the most stable polymorph in this dataset at 532 meV/atom. As for the space-group type: P4/mmm, No. 123.

```
5
Lattice="3.6883 0.0000 0.0000 0.0000 3.6883 0.0000 0.0000 0.0000 3.9183" Properties=species:S:1:pos:R:3 pbc="T T T"
Mo 0.0000 0.0000 0.0000
C 1.8442 1.8442 1.9592
Se 1.8442 1.8442 0.0000
N 0.0000 1.8442 1.9592
N 1.8442 0.0000 1.9592
```

- What is the formula in the third record?
  LiSc2Re